The following is a PBE calculation of crystalline TaV2C at its relaxed geometry, from the Alexandria database.

The space group is P4/mmm (No. 123) and the conventional cell measures 2.959, 2.959 and 5.643 Å, with angles of 90.00, 90.00 and 90.00 degrees. Symmetry generates all atoms from Ta at (0.000, 0.000, 0.000), V at (0.500, 0.500, 0.313) and C at (0.000, 0.000, 0.500).

The total magnetic moment comes out at 0.00 μB per formula unit. The calculation puts the formation energy at 97 kJ/mol of formula units. The volume is 49.4 Å³/f.u. The density of states at the Fermi level comes out at 3.70 states/eV/cell.